Crystalline LaTmLuCd at its relaxed geometry. Source: Alexandria, functional PBE.

Cell and atoms, written as POSCAR:
```
LaTmLuCd
1.0
-3.978 -3.631 -1.082
-2.565 -2.573 4.120
-5.226 1.222 1.171
Cd Lu Tm La
1 1 1 1
Direct
0.750 0.750 0.750
0.250 0.250 0.250
0.000 0.000 0.000
0.500 0.500 0.500
```

- Symmetry: F-43m (216)
- Total magnetic moment: 0.0000 μB per atom
- Crystal system: cubic
- Energy relative to the elements: -0.045 eV/atom

---

Crystalline YReOs2Pt at its relaxed geometry. Source: Alexandria, functional PBE.

Cell and atoms, written as POSCAR:
```
YReOs2Pt
1.0
4.826 0.000 0.000
0.000 4.738 0.000
0.000 0.000 4.826
Y Re Os Pt
1 1 2 1
Direct
0.500 0.500 0.500
0.000 0.500 0.000
0.000 0.000 0.500
0.500 0.000 0.000
0.000 0.000 0.000
```

- Symmetry: P4/mmm (123)
- Total magnetic moment: 0.3130 μB per atom
- Crystal system: tetragonal
- Energy relative to the elements: 1.703 eV/atom

---

Crystalline SrGe4Pt12 at its relaxed geometry. Source: Alexandria, functional PBE.

Cell and atoms, written as POSCAR:
```
SrGe4Pt12
1.0
-1.791 -6.170 -3.790
-0.771 -1.262 7.311
-4.511 5.575 -2.050
Sr Ge Pt
1 4 12
Direct
0.000 0.000 0.000
0.000 0.500 0.000
0.500 0.000 0.000
0.500 0.500 0.500
0.000 0.000 0.500
0.842 0.347 0.189
0.347 0.505 0.158
0.811 0.158 0.653
0.347 0.189 0.842
0.189 0.842 0.347
0.653 0.495 0.842
0.505 0.158 0.347
0.495 0.842 0.653
0.653 0.811 0.158
0.842 0.653 0.495
0.158 0.347 0.505
0.158 0.653 0.811
```

- Symmetry: Im-3 (204)
- Total magnetic moment: 0.0000 μB per atom
- Crystal system: cubic
- Energy relative to the elements: -0.167 eV/atom

---

Crystalline SiHgCl2 at its relaxed geometry. Source: Alexandria, functional PBE.

Cell and atoms, written as POSCAR:
```
SiHgCl2
1.0
-3.300 2.975 2.411
-2.067 3.943 -2.395
-4.890 -0.098 -1.275
Si Hg Cl
1 1 2
Direct
0.000 0.000 0.000
0.500 0.500 0.500
0.250 0.250 0.250
0.750 0.750 0.750
```

- Symmetry: Fm-3m (225)
- Total magnetic moment: 0.0000 μB per atom
- Crystal system: cubic
- Energy relative to the lowest polymorph listed for this composition: 589 meV per atom

---

Crystalline Zr4AlBr at its relaxed geometry. Source: Alexandria, functional PBE.

Cell and atoms, written as POSCAR:
```
Zr4AlBr
1.0
4.298 -3.885 -0.632
-0.985 -5.000 -2.828
2.370 -0.895 -5.248
Zr Al Br
4 1 1
Direct
0.867 0.378 0.378
0.378 0.378 0.867
0.378 0.867 0.378
0.378 0.378 0.378
0.750 0.750 0.750
0.000 0.000 0.000
```

- Symmetry: F-43m (216)
- Total magnetic moment: 0.0000 μB per atom
- Crystal system: cubic
- Uncorrected energy: -6.24 eV/atom

---

Crystalline NaIn4Hg2Bi at its relaxed geometry. Source: Alexandria, functional PBE.

Cell and atoms, written as POSCAR:
```
NaIn4Hg2Bi
1.0
4.513 0.000 0.000
0.000 4.513 0.000
0.000 0.000 11.748
Na In Hg Bi
1 4 2 1
Direct
0.000 0.000 0.500
0.000 0.500 0.203
0.500 0.000 0.797
0.500 0.000 0.203
0.000 0.500 0.797
0.500 0.500 0.381
0.500 0.500 0.619
0.000 0.000 0.000
```

- Symmetry: P4/mmm (123)
- Total magnetic moment: 0.0000 μB per atom
- Crystal system: tetragonal
- Energy relative to the elements: -0.015 eV/atom

---

Crystalline Zn4NiAu3 at its relaxed geometry. Source: Alexandria, functional PBE.

Cell and atoms, written as POSCAR:
```
Zn4NiAu3
1.0
3.081 0.000 0.000
0.000 3.081 0.000
0.000 0.000 12.876
Ni Zn Au
1 4 3
Direct
0.500 0.500 0.000
0.000 0.000 0.898
0.000 0.000 0.102
0.000 0.000 0.367
0.000 0.000 0.633
0.500 0.500 0.234
0.500 0.500 0.500
0.500 0.500 0.766
```

- Symmetry: P4/mmm (123)
- Total magnetic moment: 0.0000 μB per atom
- Crystal system: tetragonal
- Energy relative to the elements: -0.199 eV/atom

---

Crystalline Cs3GaTe at its relaxed geometry. Source: Alexandria, functional PBE.

Cell and atoms, written as POSCAR:
```
Cs3GaTe
1.0
-0.415 -0.301 7.341
-0.786 -7.309 -0.344
7.305 -0.804 0.380
Cs Ga Te
3 1 1
Direct
0.000 0.500 0.000
0.000 0.000 0.500
0.500 0.000 0.000
0.500 0.500 0.500
0.000 0.000 0.000
```

- Symmetry: Pm-3m (221)
- Total magnetic moment: 0.3996 μB per atom
- Crystal system: cubic
- Energy relative to the lowest polymorph listed for this composition: 0 meV per atom

---

Crystalline CaErZn2Ga2 at its relaxed geometry. Source: Alexandria, functional PBE.

Cell and atoms, written as POSCAR:
```
CaErZn2Ga2
1.0
4.459 0.000 0.000
-2.229 3.862 0.000
0.000 0.000 7.295
Ca Er Zn Ga
1 1 2 2
Direct
0.000 0.000 0.000
0.000 0.000 0.500
0.333 0.667 0.720
0.667 0.333 0.280
0.333 0.667 0.280
0.667 0.333 0.720
```

- Symmetry: P-3m1 (164)
- Total magnetic moment: 0.0000 μB per atom
- Crystal system: trigonal
- Energy relative to the elements: -0.496 eV/atom

---

Crystalline Pm2In at its relaxed geometry. Source: Alexandria, functional PBE.

Cell and atoms, written as POSCAR:
```
Pm2In
1.0
-0.463 -3.187 -1.672
3.596 -0.482 -0.070
-1.876 -1.413 7.138
In Pm
1 2
Direct
0.500 0.500 0.000
0.154 0.154 0.307
0.846 0.846 0.693
```

- Symmetry: I4/mmm (139)
- Total magnetic moment: 0.0000 μB per atom
- Crystal system: tetragonal
- Energy relative to the elements: -0.292 eV/atom
- Energy relative to the lowest polymorph listed for this composition: 61 meV per atom

---

Crystalline CeTcNi4 at its relaxed geometry. Source: Alexandria, functional PBE.

Cell and atoms, written as POSCAR:
```
CeTcNi4
1.0
-3.418 0.568 -3.478
-4.759 -0.046 1.205
-2.625 4.144 -0.208
Ni Tc Ce
4 1 1
Direct
0.624 0.624 0.128
0.624 0.128 0.624
0.624 0.624 0.624
0.128 0.624 0.624
0.250 0.250 0.250
0.000 0.000 0.000
```

- Symmetry: F-43m (216)
- Total magnetic moment: 0.4900 μB per atom
- Crystal system: cubic
- Energy relative to the elements: -0.076 eV/atom

---

Crystalline YZn2Sn at its relaxed geometry. Source: Alexandria, functional PBE.

Cell and atoms, written as POSCAR:
```
YZn2Sn
1.0
-2.097 2.584 -2.896
-0.699 -3.446 -2.568
-3.767 -0.762 2.048
Y Zn Sn
1 2 1
Direct
0.500 0.500 0.500
0.000 0.000 0.500
0.000 0.500 0.000
0.500 0.000 0.000
```

- Symmetry: P4/mmm (123)
- Total magnetic moment: 0.0000 μB per atom
- Crystal system: tetragonal
- Energy relative to the elements: -0.402 eV/atom

---

Crystalline RbH3O at its relaxed geometry. Source: Alexandria, functional PBE.

Cell and atoms, written as POSCAR:
```
RbH3O
1.0
3.650 0.000 0.000
1.825 3.161 0.000
1.825 1.054 4.827
Rb H O
1 3 1
Direct
0.837 0.837 0.489
0.459 0.775 0.992
0.775 0.459 0.992
0.775 0.775 0.992
0.029 0.029 0.912
```

- Symmetry: R3m (160)
- Total magnetic moment: 0.0000 μB per atom
- Crystal system: trigonal
- Energy relative to the lowest polymorph listed for this composition: 0 meV per atom

---

Crystalline HfSnP2O at its relaxed geometry. Source: Alexandria, functional PBE.

Cell and atoms, written as POSCAR:
```
HfSnP2O
1.0
-2.867 1.361 -3.850
0.412 -4.584 -1.927
-3.178 -1.115 1.972
P Hf Sn O
2 1 1 1
Direct
0.000 0.500 0.000
0.500 0.000 0.000
0.500 0.500 0.500
0.000 0.000 0.000
0.000 0.000 0.500
```

- Symmetry: P4/mmm (123)
- Total magnetic moment: 0.0000 μB per atom
- Crystal system: tetragonal
- Energy relative to the lowest polymorph listed for this composition: 818 meV per atom

---

Crystalline LiAg2Cl at its relaxed geometry. Source: Alexandria, functional PBE.

Cell and atoms, written as POSCAR:
```
LiAg2Cl
1.0
-1.756 3.804 2.351
-4.448 -1.761 -0.442
3.463 -2.672 1.987
Ag Cl Li
2 1 1
Direct
0.000 0.000 0.000
0.250 0.750 0.500
0.500 0.500 0.000
0.750 0.250 0.500
```

- Symmetry: I-4m2 (119)
- Total magnetic moment: 0.0000 μB per atom
- Crystal system: tetragonal
- Energy relative to the lowest polymorph listed for this composition: 390 meV per atom

---

Crystalline NdEr2Sn at its relaxed geometry. Source: Alexandria, functional PBE.

Cell and atoms, written as POSCAR:
```
NdEr2Sn
1.0
4.814 0.000 0.000
0.000 4.850 0.000
0.000 0.000 4.850
Nd Sn Er
1 1 2
Direct
0.500 0.500 0.500
0.500 0.000 0.000
0.000 0.000 0.500
0.000 0.500 0.000
```

- Symmetry: P4/mmm (123)
- Total magnetic moment: 0.0005 μB per atom
- Crystal system: tetragonal
- Energy relative to the elements: -0.410 eV/atom
- Energy relative to the lowest polymorph listed for this composition: 11 meV per atom

---

Crystalline RbTi3Cl at its relaxed geometry. Source: Alexandria, functional PBE.

Cell and atoms, written as POSCAR:
```
RbTi3Cl
1.0
4.903 0.000 0.000
0.000 4.903 0.000
0.000 0.000 4.903
Cl Rb Ti
1 1 3
Direct
0.500 0.500 0.500
0.000 0.000 0.000
0.000 0.500 0.000
0.000 0.000 0.500
0.500 0.000 0.000
```

- Symmetry: Pm-3m (221)
- Total magnetic moment: 0.4856 μB per atom
- Crystal system: cubic
- Energy relative to the lowest polymorph listed for this composition: 1469 meV per atom

---

Crystalline Pu2Pa2Te7 at its relaxed geometry. Source: Alexandria, functional PBE.

Cell and atoms, written as POSCAR:
```
Pu2Pa2Te7
1.0
-2.609 2.424 -3.816
-4.518 -1.559 2.098
-0.468 12.304 8.136
Pu Pa Te
2 2 7
Direct
0.500 0.000 0.867
0.000 0.500 0.133
0.500 0.000 0.372
0.000 0.500 0.628
0.500 0.500 0.000
0.000 0.000 0.245
0.500 0.500 0.258
0.000 0.000 0.500
0.500 0.500 0.500
0.000 0.000 0.755
0.500 0.500 0.742
```

- Symmetry: P-4m2 (115)
- Total magnetic moment: 1.0930 μB per atom
- Crystal system: tetragonal
- Uncorrected energy: -7.08 eV/atom

---

Crystalline Sr2LiMn at its relaxed geometry. Source: Alexandria, functional PBE.

Cell and atoms, written as POSCAR:
```
Sr2LiMn
1.0
4.815 0.000 0.000
0.000 4.607 0.002
0.000 2.295 6.299
Li Mn Sr
1 1 2
Direct
0.000 0.686 0.503
0.500 0.562 0.751
0.000 0.982 0.911
0.500 0.270 0.334
```

- Symmetry: Amm2 (38)
- Total magnetic moment: 0.9767 μB per atom
- Crystal system: orthorhombic
- Energy relative to the elements: 0.343 eV/atom
- Energy relative to the lowest polymorph listed for this composition: 17 meV per atom

---

Crystalline Y3SBr7 at its relaxed geometry. Source: Alexandria, functional PBE.

Cell and atoms, written as POSCAR:
```
Y3SBr7
1.0
-6.200 0.956 3.130
-2.751 -7.047 -3.297
3.710 -0.065 7.371
Y S Br
3 1 7
Direct
0.774 0.493 0.507
0.774 0.493 0.985
0.774 0.015 0.507
0.582 0.333 0.667
0.008 0.171 0.829
0.008 0.171 0.342
0.010 0.667 0.333
0.560 0.827 0.173
0.560 0.346 0.173
0.560 0.827 0.654
0.008 0.658 0.829
```

- Symmetry: P3m1 (156)
- Total magnetic moment: 0.0000 μB per atom
- Crystal system: trigonal
- Uncorrected energy: -5.09 eV/atom